Computed, not measured: ZnSbAuI2 after structural relaxation at the GGA-PBEsol level of DFT.

* E_form (uncorrected): 0.503 eV per atom
* symmetry: P4/mmm, No. 123
* VASP energy: -11.084 eV for the cell shown
* crystal system: tetragonal
* N(E_F): 3.7 states/eV/cell

```
ZnSbAuI2
1.0
5.585 0.000 0.000
0.000 5.585 0.000
0.000 0.000 5.344
Zn Sb Au I
1 1 1 2
direct
0.000 0.000 0.000
0.500 0.500 0.000
0.500 0.500 0.500
0.000 0.500 0.500
0.500 0.000 0.500
```

***

Computed, not measured: Au2SeI after structural relaxation at the GGA-PBEsol level of DFT.

* E_form (uncorrected): 0.123 eV per atom
* symmetry: I-42d, No. 122
* VASP energy: -25.948 eV for the cell shown
* crystal system: tetragonal
* N(E_F): 4.8 states/eV/cell

```
Au2SeI
1.0
-3.055 3.055 6.047
3.055 -3.055 6.047
3.055 3.055 -6.047
Au Se I
4 2 2
direct
0.079 0.625 0.954
0.375 0.329 0.454
0.671 0.125 0.046
0.875 0.921 0.546
0.000 0.000 0.000
0.750 0.250 0.500
0.250 0.750 0.500
0.500 0.500 0.000
```

***

Computed, not measured: Au3SeI after structural relaxation at the GGA-PBEsol level of DFT.

* E_form (uncorrected): 1.119 eV per atom
* symmetry: Pm-3m, No. 221
* VASP energy: -11.792 eV for the cell shown
* crystal system: cubic
* N(E_F): 5.8 states/eV/cell

```
Au3SeI
1.0
5.181 0.000 0.000
0.000 5.181 0.000
0.000 0.000 5.181
Au Se I
3 1 1
direct
0.000 0.000 0.500
0.000 0.500 0.000
0.500 0.000 0.000
0.500 0.500 0.500
0.000 0.000 0.000
```

***

Computed, not measured: Te2AuSeI after structural relaxation at the GGA-PBEsol level of DFT.

* E_form (uncorrected): 0.637 eV per atom
* symmetry: P4/mmm, No. 123
* VASP energy: -13.407 eV for the cell shown
* crystal system: tetragonal
* N(E_F): 5.7 states/eV/cell

```
Te2AuSeI
1.0
5.375 0.000 0.000
0.000 5.375 0.000
0.000 0.000 5.312
Te Au Se I
2 1 1 1
direct
0.000 0.500 0.000
0.500 0.000 0.000
0.000 0.000 0.000
0.500 0.500 0.500
0.000 0.000 0.500
```

***

Computed, not measured: SiAuI3 after structural relaxation at the GGA-PBEsol level of DFT.

* E_form (uncorrected): 0.586 eV per atom
* symmetry: Pm-3m, No. 221
* VASP energy: -12.044 eV for the cell shown
* crystal system: cubic
* N(E_F): 2.1 states/eV/cell

```
SiAuI3
1.0
5.495 0.000 0.000
0.000 5.495 0.000
0.000 0.000 5.495
Si Au I
1 1 3
direct
0.000 0.000 0.000
0.500 0.500 0.500
0.000 0.500 0.500
0.500 0.000 0.500
0.500 0.500 0.000
```

***

Computed, not measured: SnAu3I after structural relaxation at the GGA-PBEsol level of DFT.

* E_form (uncorrected): 0.607 eV per atom
* symmetry: Pm-3m, No. 221
* VASP energy: -14.765 eV for the cell shown
* crystal system: cubic
* N(E_F): 5.5 states/eV/cell

```
SnAu3I
1.0
5.161 0.000 0.000
0.000 5.161 0.000
0.000 0.000 5.161
Sn Au I
1 3 1
direct
0.000 0.000 0.000
0.000 0.000 0.500
0.000 0.500 0.000
0.500 0.000 0.000
0.500 0.500 0.500
```